1.
# Ta2Co2Hg

An optimized crystal structure of Ta2Co2Hg (PBE, Alexandria via LeMat-Bulk).

a = 7.553 Å, b = 7.553 Å, c = 2.839 Å
α = 90.00°, β = 90.00°, γ = 90.00°
Space group P4/mbm (No. 127)
One atom of each set of equivalent atoms:
Ta 0.149 0.351 0.000 [4 per cell]
Co 0.135 0.635 0.500 [4 per cell]
Hg 0.000 0.000 0.000 [2 per cell]

## Properties
N(E_F) in states/eV/cell: 8.946
Formation energy in eV/atom: 0.21
E in eV per cell: -74.3
Volume in Å³/cell: 162

***

2.
# ScSb2TeF

An optimized crystal structure of ScSb2TeF (PBE, Alexandria via LeMat-Bulk).

a = 4.642 Å, b = 4.642 Å, c = 5.660 Å
α = 90.00°, β = 90.00°, γ = 90.00°
Space group P4/mmm (No. 123)
One atom of each set of equivalent atoms:
Sc 0.000 0.000 0.000 [1 per cell]
Sb 0.000 0.500 0.500 [2 per cell]
Te 0.500 0.500 0.000 [1 per cell]
F 0.500 0.500 0.500 [1 per cell]

## Properties
N(E_F) in states/eV/cell: 3.027
Energy relative to the elements, uncorrected in eV per formula unit: -2.188
E in eV per cell: -21.8
Volume in Å³/cell: 122

***

3.
# MgPRh2

An optimized crystal structure of MgPRh2 (PBE, Alexandria via LeMat-Bulk).

a = 2.890 Å, b = 2.890 Å, c = 6.870 Å
α = 90.00°, β = 90.00°, γ = 90.00°
Space group P4/mmm (No. 123)
One atom of each set of equivalent atoms:
Mg 0.000 0.000 0.000 [1 per cell]
P 0.000 0.000 0.500 [1 per cell]
Rh 0.500 0.500 0.295 [2 per cell]

## Properties
N(E_F) in states/eV/cell: 2.297
Formation energy in eV/atom: -0.53
E in eV per cell: -23.8
Volume in Å³/cell: 57

***

4.
# Th6Ru2C3S

An optimized crystal structure of Th6Ru2C3S (PBE, Alexandria via LeMat-Bulk).

a = 17.349 Å, b = 3.832 Å, c = 8.032 Å
α = 90.00°, β = 107.67°, γ = 90.00°
Space group C2/m (No. 12)
One atom of each set of equivalent atoms:
Th 0.003 0.000 0.269 [4 per cell]
Th 0.153 0.500 0.618 [4 per cell]
Th 0.177 0.500 0.090 [4 per cell]
Ru 0.187 0.000 0.381 [4 per cell]
C 0.000 0.500 0.500 [2 per cell]
C 0.154 0.000 0.852 [4 per cell]
S 0.000 0.500 0.000 [2 per cell]

## Properties
N(E_F) in states/eV/cell: 11.088
Energy relative to the elements, uncorrected in eV per formula unit: -6.889
E in eV per cell: -203.5
Volume in Å³/cell: 509